Below is a crystal of AlHIN2 relaxed with PBEsol, with properties calculated at the meta-GGA SCAN level.

The structure in POSCAR format:
```
AlHIN2
1.0
3.571 0.000 0.000
0.000 3.571 0.000
0.000 0.000 6.603
Al H I N
1 1 1 2
Direct
0.000 0.000 0.000
0.500 0.500 0.500
0.000 0.000 0.500
0.000 0.500 0.000
0.500 0.000 0.000
```

Total magnetic moment (μB per cell): 1.0
Total DFT energy (no corrections) (eV for the cell shown): -61.45